[1]
The following is a PBE calculation of a relaxed structure of CaDy2Y, from Alexandria.

Computed properties:
density = 5.6 g/cm³
V = 539.4 Å³/cell
distance to the lowest polymorph of the same formula = 60 meV/atom

a = 24.0080 Å, b = 3.4908 Å, c = 6.4526 Å
α = 90.00°, β = 94.14°, γ = 90.00°
Space group C2/m (No. 12)
Inequivalent atoms, fractional coordinates:
Ca  0.0013  0.0000  0.2491 [4 per cell]
Dy  0.1271  0.5000  0.0357 [4 per cell]
Dy  0.1353  0.0000  0.5453 [4 per cell]
Y  0.2483  0.0000  0.2482 [4 per cell]

***

[2]
The following is a PBE calculation of a relaxed structure of VFeNi3, from Alexandria.

Computed properties:
density = 7.2 g/cm³
V = 260.2 Å³/cell
distance to the lowest polymorph of the same formula = 280 meV/atom

a = 6.1968 Å, b = 9.1156 Å, c = 4.6059 Å
α = 90.00°, β = 90.00°, γ = 90.00°
Space group Cmcm (No. 63)
Inequivalent atoms, fractional coordinates:
V  0.0000  0.1886  0.2500 [4 per cell]
Fe  0.0000  0.5000  0.0000 [4 per cell]
Ni  0.0000  0.2843  0.7500 [4 per cell]
Ni  0.1858  0.0625  0.7500 [8 per cell]

***

[3]
The following is a PBE calculation of a relaxed structure of Cu2Pb, from Alexandria.

Computed properties:
electronic total energy = -3.680 eV per atom
density = 9.8 g/cm³
V = 56.8 Å³/cell

a = 3.5185 Å, b = 3.5185 Å, c = 4.5915 Å
α = 90.00°, β = 90.00°, γ = 90.00°
Space group P4/mmm (No. 123)
Inequivalent atoms, fractional coordinates:
Cu  0.0000  0.5000  0.0000 [2 per cell]
Pb  0.0000  0.0000  0.5000 [1 per cell]

***

[4]
The following is a PBE calculation of a relaxed structure of BeCd2CuAu6, from Alexandria.

Computed properties:
electronic total energy = -2.742 eV per atom
density = 12.3 g/cm³
V = 798.6 Å³/cell

a = 9.2776 Å, b = 9.2776 Å, c = 9.2776 Å
α = 90.00°, β = 90.00°, γ = 90.00°
Space group Fm-3m (No. 225)
Inequivalent atoms, fractional coordinates:
Be  0.0000  0.0000  0.0000 [4 per cell]
Cd  0.2500  0.2500  0.2500 [8 per cell]
Cu  0.0000  0.0000  0.5000 [4 per cell]
Au  0.0000  0.0000  0.2372 [24 per cell]

***

[5]
The following is a PBE calculation of a relaxed structure of PmIn3Hg12, from Alexandria.

Computed properties:
electronic total energy = -1.120 eV per atom
density = 11.5 g/cm³
V = 419.9 Å³/cell

a = 4.8879 Å, b = 4.8879 Å, c = 17.5764 Å
α = 90.00°, β = 90.00°, γ = 90.00°
Space group P4/mmm (No. 123)
Inequivalent atoms, fractional coordinates:
Pm  0.0000  0.0000  0.0000 [1 per cell]
In  0.0000  0.0000  0.2480 [2 per cell]
In  0.0000  0.0000  0.5000 [1 per cell]
Hg  0.0000  0.5000  0.1244 [4 per cell]
Hg  0.0000  0.5000  0.3719 [4 per cell]
Hg  0.5000  0.5000  0.0000 [1 per cell]
Hg  0.5000  0.5000  0.2454 [2 per cell]
Hg  0.5000  0.5000  0.5000 [1 per cell]

***

[6]
The following is a PBE calculation of a relaxed structure of Pr6SmTm, from Alexandria.

Computed properties:
density = 6.9 g/cm³
V = 280.5 Å³/cell
distance to the lowest polymorph of the same formula = 0 meV/atom

a = 5.1949 Å, b = 5.1949 Å, c = 10.3935 Å
α = 90.00°, β = 90.00°, γ = 90.00°
Space group P4/mmm (No. 123)
Inequivalent atoms, fractional coordinates:
Pr  0.0000  0.0000  0.0000 [1 per cell]
Pr  0.0000  0.0000  0.5000 [1 per cell]
Pr  0.0000  0.5000  0.2477 [4 per cell]
Sm  0.5000  0.5000  0.5000 [1 per cell]
Tm  0.5000  0.5000  0.0000 [1 per cell]

***

[7]
The following is a PBE calculation of a relaxed structure of KAlP4, from Alexandria.

Computed properties:
density = 2.4 g/cm³
V = 518.8 Å³/cell
distance to the lowest polymorph of the same formula = 605 meV/atom

a = 8.0352 Å, b = 8.0352 Å, c = 8.0352 Å
α = 90.00°, β = 90.00°, γ = 90.00°
Space group F-43m (No. 216)
Inequivalent atoms, fractional coordinates:
K  0.0000  0.0000  0.0000 [4 per cell]
Al  0.2500  0.2500  0.2500 [4 per cell]
P  0.1021  0.1021  0.6021 [16 per cell]

***

[8]
The following is a PBE calculation of a relaxed structure of Ba2PtBr, from Alexandria.

Computed properties:
energy relative to the elements, uncorrected = -1088.8 meV per atom
density = 6.7 g/cm³
V = 272.2 Å³/cell
distance to the lowest polymorph of the same formula = 188 meV/atom

a = 5.1473 Å, b = 4.2270 Å, c = 12.5120 Å
α = 90.00°, β = 90.00°, γ = 90.00°
Space group Amm2 (No. 38)
Inequivalent atoms, fractional coordinates:
Ba  0.0000  0.0000  0.0000 [2 per cell]
Ba  0.5000  0.0000  0.2527 [2 per cell]
Pt  0.5000  0.0000  0.5041 [2 per cell]
Br  0.0000  0.0000  0.7371 [2 per cell]

***

[9]
The following is a PBE calculation of a relaxed structure of Sm3SeI7, from Alexandria.

Computed properties:
energy relative to the elements, uncorrected = -1467.4 meV per atom
density = 4.5 g/cm³
V = 524.4 Å³/cell

a = 8.8788 Å, b = 8.8788 Å, c = 7.6804 Å
α = 90.00°, β = 90.00°, γ = 120.00°
Space group P3m1 (No. 156)
Inequivalent atoms, fractional coordinates:
Sm  0.0162  0.5081  0.0000 [3 per cell]
Se  0.3333  0.6667  0.8132 [1 per cell]
I  0.1685  0.3369  0.2424 [3 per cell]
I  0.3398  0.1699  0.7783 [3 per cell]
I  0.6667  0.3333  0.2417 [1 per cell]

***

[10]
The following is a PBE calculation of a relaxed structure of In3IrCl, from Alexandria.

Computed properties:
energy relative to the elements, uncorrected = 959.0 meV per atom
density = 6.4 g/cm³
V = 148.4 Å³/cell
distance to the lowest polymorph of the same formula = 1397 meV/atom

a = 5.2941 Å, b = 5.2941 Å, c = 5.2941 Å
α = 90.00°, β = 90.00°, γ = 90.00°
Space group Pm-3m (No. 221)
Inequivalent atoms, fractional coordinates:
In  0.0000  0.0000  0.5000 [3 per cell]
Ir  0.5000  0.5000  0.5000 [1 per cell]
Cl  0.0000  0.0000  0.0000 [1 per cell]

***

[11]
The following is a PBE calculation of a relaxed structure of Sc2MoPtI, from Alexandria.

Computed properties:
energy relative to the elements, uncorrected = 350.2 meV per atom
density = 6.4 g/cm³
V = 131.5 Å³/cell

a = 5.2701 Å, b = 5.2701 Å, c = 4.7342 Å
α = 90.00°, β = 90.00°, γ = 90.00°
Space group P4/mmm (No. 123)
Inequivalent atoms, fractional coordinates:
Sc  0.0000  0.5000  0.0000 [2 per cell]
Mo  0.0000  0.0000  0.0000 [1 per cell]
Pt  0.0000  0.0000  0.5000 [1 per cell]
I  0.5000  0.5000  0.5000 [1 per cell]

***

[12]
The following is a PBE calculation of a relaxed structure of ThCrRh2, from Alexandria.

Computed properties:
electronic total energy = -8.380 eV per atom
density = 11.1 g/cm³
V = 73.5 Å³/cell

a = 4.4057 Å, b = 4.4057 Å, c = 3.7852 Å
α = 90.00°, β = 90.00°, γ = 90.00°
Space group P4/mmm (No. 123)
Inequivalent atoms, fractional coordinates:
Th  0.0000  0.0000  0.0000 [1 per cell]
Cr  0.5000  0.5000  0.0000 [1 per cell]
Rh  0.0000  0.5000  0.5000 [2 per cell]